Density functional theory data (PBE-GGA) for crystalline Sr2SI2 at its relaxed geometry.

Properties
Symmetry: I4/mmm, No. 139
Total DFT energy (no corrections): -3.187 eV per atom
Raw formation energy: -1.07 eV per atom
Volume: 40.7 A^3/atom

Cell: 6.0622 6.0622 7.0070 Å, 64.37 64.37 90.00°
Last column: nearest neighbours and their distance in Å.
Fractional positions:
Sr (0.7500, 0.2500, 0.5000)  4 I 3.20
Sr (0.2500, 0.7500, 0.5000)  4 I 3.20
S (0.0000, 0.0000, 0.0000)  2 I 3.81, 8 Sr 4.11
I (0.3439, 0.3439, 0.3122)  4 Sr 3.20, 1 I 3.46
I (0.6561, 0.6561, 0.6878)  4 Sr 3.20, 1 I 3.46

---

Density functional theory data (PBE-GGA) for crystalline Ca2CoPdC at its relaxed geometry.

Properties
Symmetry: P4/mmm, No. 123
Total DFT energy (no corrections): -5.273 eV per atom
Volume: 18.6 A^3/atom
DFT formation energy: -168 meV/atom

Cell: 5.0832 5.0832 3.5910 Å, 90.00 90.00 90.00°
Last column: nearest neighbours and their distance in Å.
Fractional positions:
Ca (0.0000, 0.5000, 0.0000)  2 C 2.54
Ca (0.5000, 0.0000, 0.0000)  2 C 2.54
Co (0.0000, 0.0000, 0.5000)  2 C 1.80
C (0.0000, 0.0000, 0.0000)  2 Co 1.80
Pd (0.5000, 0.5000, 0.5000)  8 Ca 3.11

---

Density functional theory data (PBE-GGA) for crystalline U2Zn15Pd2 at its relaxed geometry.

Properties
Symmetry: R-3m, No. 166
Total DFT energy (no corrections): -2.879 eV per atom
Volume: 16.1 A^3/atom
DFT formation energy: -138 meV/atom

Cell: 6.7836 6.7836 6.7836 Å, 83.14 83.14 83.14°
Last column: nearest neighbours and their distance in Å.
Fractional positions:
U (0.6585, 0.6585, 0.6585)  1 Pd 2.98, 9 Zn 3.15-3.22
U (0.3415, 0.3415, 0.3415)  1 Pd 2.98, 9 Zn 3.15-3.22
Zn (0.1571, 0.6471, 0.6471)  8 Zn 2.58-2.75, 1 Pd 2.80
Zn (0.6471, 0.1571, 0.6471)  8 Zn 2.58-2.75, 1 Pd 2.80
Zn (0.7108, 0.2892, 0.0000)  8 Zn 2.56-2.75
Zn (0.8429, 0.3529, 0.3529)  8 Zn 2.58-2.75, 1 Pd 2.80
Zn (0.6471, 0.6471, 0.1571)  8 Zn 2.58-2.75, 1 Pd 2.80
Zn (0.0000, 0.0000, 0.5000)  8 Zn 2.56-2.63, 2 Pd 2.69
Zn (0.3529, 0.3529, 0.8429)  8 Zn 2.58-2.75, 1 Pd 2.80
Zn (0.7108, 0.0000, 0.2892)  8 Zn 2.56-2.75
Zn (0.3529, 0.8429, 0.3529)  8 Zn 2.58-2.75, 1 Pd 2.80
Zn (0.0000, 0.5000, 0.0000)  8 Zn 2.56-2.63, 2 Pd 2.69
Zn (0.0000, 0.2892, 0.7108)  8 Zn 2.56-2.75
Zn (0.2892, 0.0000, 0.7108)  8 Zn 2.56-2.75
Zn (0.0000, 0.7108, 0.2892)  8 Zn 2.56-2.75
Zn (0.2892, 0.7108, 0.0000)  8 Zn 2.56-2.75
Zn (0.5000, 0.0000, 0.0000)  8 Zn 2.56-2.63, 2 Pd 2.69
Pd (0.1139, 0.1139, 0.1139)  12 Zn 2.69-3.00, 1 U 2.98, 1 Pd 2.98
Pd (0.8861, 0.8861, 0.8861)  12 Zn 2.69-3.00, 1 U 2.98, 1 Pd 2.98

---

Density functional theory data (PBE-GGA) for crystalline K2SiO3 at its relaxed geometry.

Properties
Symmetry: P2_1/c, No. 14
Total DFT energy (no corrections): -6.078 eV per atom
Raw formation energy: -2.33 eV per atom
Volume: 17.7 A^3/atom

Cell: 6.3268 13.2782 15.2401 Å, 90.00 95.28 90.00°
Last column: nearest neighbours and their distance in Å.
Fractional positions:
O (0.6820, 0.0613, 0.9148)  1 Si 1.62
O (0.4891, 0.4485, 0.8820)  1 Si 1.63
O (0.9491, 0.1871, 0.1590)  1 Si 1.63
O (0.5509, 0.6871, 0.3410)  1 Si 1.63
O (0.2711, 0.1032, 0.8489)  1 Si 1.62
O (0.4711, 0.7489, 0.0913)  2 Si 1.69
O (0.4491, 0.3129, 0.6590)  1 Si 1.63
O (0.7596, 0.3386, 0.7918)  2 Si 1.70
O (0.9711, 0.7511, 0.5913)  2 Si 1.69
O (0.0109, 0.9485, 0.6180)  1 Si 1.63
O (0.2404, 0.6614, 0.2082)  2 Si 1.70
O (0.7404, 0.8386, 0.7082)  2 Si 1.70
O (0.1001, 0.3443, 0.2578)  2 Si 1.70
O (0.3999, 0.8443, 0.2422)  2 Si 1.70
O (0.8999, 0.6557, 0.7422)  2 Si 1.70
O (0.8180, 0.5613, 0.5852)  1 Si 1.62
O (0.0509, 0.8129, 0.8410)  1 Si 1.63
O (0.8561, 0.2420, 0.6459)  1 Si 1.62
O (0.1375, 0.6278, 0.0360)  1 Si 1.62
O (0.7289, 0.8968, 0.1511)  1 Si 1.62
O (0.2289, 0.6032, 0.6511)  1 Si 1.62
O (0.0289, 0.2489, 0.4087)  2 Si 1.69
O (0.3180, 0.9387, 0.0852)  1 Si 1.62
O (0.6439, 0.7420, 0.8541)  1 Si 1.62
O (0.1820, 0.4387, 0.4148)  1 Si 1.62
O (0.5109, 0.5515, 0.1180)  1 Si 1.63
O (0.5289, 0.2511, 0.9087)  2 Si 1.69
O (0.7711, 0.3968, 0.3489)  1 Si 1.62
O (0.9891, 0.0515, 0.3820)  1 Si 1.63
O (0.6375, 0.8722, 0.5360)  1 Si 1.62
O (0.6001, 0.1557, 0.7578)  2 Si 1.70
O (0.3625, 0.1278, 0.4640)  1 Si 1.62
O (0.1439, 0.7580, 0.3541)  1 Si 1.62
O (0.8625, 0.3722, 0.9640)  1 Si 1.62
O (0.2596, 0.1614, 0.2918)  2 Si 1.70
O (0.3561, 0.2580, 0.1459)  1 Si 1.62
K (0.2699, 0.6312, 0.8648)  5 O 2.79-2.88
K (0.0834, 0.4008, 0.5818)  5 O 2.72-3.00
K (0.7699, 0.8688, 0.3648)  5 O 2.79-2.88
K (0.7506, 0.0824, 0.5255)  5 O 2.62-2.89
K (0.4256, 0.4876, 0.2857)  6 O 2.60-2.87
K (0.5381, 0.3322, 0.4873)  4 O 2.74-2.94
K (0.8252, 0.6814, 0.2024)  4 O 2.63-2.86
K (0.7494, 0.5824, 0.9745)  5 O 2.62-2.89
K (0.2494, 0.9176, 0.4745)  5 O 2.62-2.89
K (0.0381, 0.1678, 0.9873)  4 O 2.74-2.94
K (0.5834, 0.0992, 0.0818)  5 O 2.72-3.00
K (0.4619, 0.6678, 0.5127)  4 O 2.74-2.94
K (0.2301, 0.1312, 0.6352)  5 O 2.79-2.88
K (0.9619, 0.8322, 0.0127)  4 O 2.74-2.94
K (0.4166, 0.9008, 0.9182)  5 O 2.72-3.00
K (0.9256, 0.0124, 0.7857)  6 O 2.60-2.87
K (0.6748, 0.1814, 0.2976)  4 O 2.63-2.86
K (0.9166, 0.5992, 0.4182)  5 O 2.72-3.00
K (0.2506, 0.4176, 0.0255)  5 O 2.62-2.89
K (0.5744, 0.5124, 0.7143)  6 O 2.60-2.87
K (0.0744, 0.9876, 0.2143)  6 O 2.60-2.87
K (0.7301, 0.3688, 0.1352)  5 O 2.79-2.88
K (0.3252, 0.8186, 0.7024)  4 O 2.63-2.86
K (0.1748, 0.3186, 0.7976)  4 O 2.63-2.86
Si (0.6634, 0.3582, 0.8908)  4 O 1.62-1.70
Si (0.5180, 0.1365, 0.8596)  4 O 1.62-1.70
Si (0.1634, 0.1418, 0.3908)  4 O 1.62-1.70
Si (0.8366, 0.8582, 0.6092)  4 O 1.62-1.70
Si (0.8349, 0.7637, 0.7931)  4 O 1.62-1.70
Si (0.3349, 0.7363, 0.2931)  4 O 1.62-1.70
Si (0.4820, 0.8635, 0.1404)  4 O 1.62-1.70
Si (0.9820, 0.6365, 0.6404)  4 O 1.62-1.70
Si (0.1651, 0.2363, 0.2069)  4 O 1.62-1.70
Si (0.3366, 0.6418, 0.1092)  4 O 1.62-1.70
Si (0.6651, 0.2637, 0.7069)  4 O 1.62-1.70
Si (0.0180, 0.3635, 0.3596)  4 O 1.62-1.70

---

Density functional theory data (PBE-GGA) for crystalline LaCePO at its relaxed geometry.

Properties
Symmetry: P4/nmm, No. 129
Total DFT energy (no corrections): -7.331 eV per atom
Raw formation energy: -2.02 eV per atom
Volume: 21.7 A^3/atom

Cell: 4.2077 4.2077 9.8009 Å, 90.00 90.00 90.00°
Last column: nearest neighbours and their distance in Å.
Fractional positions:
Ce (0.5000, 0.5000, 0.5000)  4 P 2.88, 4 Ce 2.98
Ce (0.0000, 0.0000, 0.5000)  4 P 2.88, 4 Ce 2.98
O (0.5000, 0.5000, 0.0000)  4 La 2.40
O (0.0000, 0.0000, 0.0000)  4 La 2.40
P (0.5000, 0.0000, 0.7011)  4 Ce 2.88
P (0.0000, 0.5000, 0.2989)  4 Ce 2.88
La (0.0000, 0.5000, 0.8814)  4 O 2.40
La (0.5000, 0.0000, 0.1186)  4 O 2.40

---

Density functional theory data (PBE-GGA) for crystalline VAsP at its relaxed geometry.

Properties
Symmetry: I-4m2, No. 119
Total DFT energy (no corrections): -6.487 eV per atom
Volume: 16.1 A^3/atom
ΔE to the lowest computed polymorph: 0.167 eV per atom
DFT formation energy: -95 meV/atom

Cell: 3.3844 3.3844 8.4541 Å, 90.00 90.00 90.00°
Last column: nearest neighbours and their distance in Å.
Fractional positions:
V (0.0000, 0.5000, 0.2500)  4 P 2.39
V (0.5000, 0.0000, 0.7500)  4 P 2.39
P (0.5000, 0.0000, 0.2500)  4 V 2.39
P (0.0000, 0.5000, 0.7500)  4 V 2.39
As (0.5000, 0.5000, 0.0000)  4 P 2.71, 4 V 2.71
As (0.0000, 0.0000, 0.5000)  4 P 2.71, 4 V 2.71

---

Density functional theory data (PBE-GGA) for crystalline Dy3UCl2O6 at its relaxed geometry.

Properties
Symmetry: C2/m, No. 12
Total DFT energy (no corrections): -7.884 eV per atom
Raw formation energy: -3.01 eV per atom
Volume: 18.1 A^3/atom

Cell: 5.4307 6.7601 6.9324 Å, 119.18 79.66 90.00°
Last column: nearest neighbours and their distance in Å.
Fractional positions:
O (0.7084, 0.8176, 0.1322)  1 U 2.26, 2 Dy 2.28-2.35
O (0.3353, 0.1748, 0.3495)  1 U 2.12, 2 Dy 2.20
O (0.2916, 0.6854, 0.8678)  1 U 2.26, 2 Dy 2.28-2.35
O (0.6647, 0.8252, 0.6505)  1 U 2.12, 2 Dy 2.20
O (0.2916, 0.1824, 0.8678)  1 U 2.26, 2 Dy 2.28-2.35
O (0.7084, 0.3146, 0.1322)  1 U 2.26, 2 Dy 2.28-2.35
Dy (0.5000, 0.5000, 0.5000)  4 O 2.20-2.28
Dy (0.0000, 0.5000, 0.0000)  4 O 2.35
Dy (0.5000, 0.0000, 0.5000)  4 O 2.20-2.28
U (0.5000, 0.0000, 0.0000)  6 O 2.12-2.26
Cl (0.8369, 0.3041, 0.6082)  3 Dy 2.67-2.70, 1 O 2.83
Cl (0.1631, 0.6959, 0.3918)  3 Dy 2.67-2.70, 1 O 2.83

---

Density functional theory data (PBE-GGA) for crystalline NaPm5Sn3 at its relaxed geometry.

Properties
Symmetry: P6_3/mcm, No. 193
Total DFT energy (no corrections): -4.696 eV per atom
Volume: 29.3 A^3/atom
DFT formation energy: -576 meV/atom

Cell: 6.5988 9.6126 9.6124 Å, 120.00 90.00 90.00°
Last column: nearest neighbours and their distance in Å.
Fractional positions:
Sn (0.7500, 0.0000, 0.6518)  9 Pm 3.20-3.54
Sn (0.2500, 0.0000, 0.3482)  9 Pm 3.20-3.54
Sn (0.2500, 0.3482, 0.0000)  9 Pm 3.20-3.54
Sn (0.2500, 0.6518, 0.6518)  9 Pm 3.20-3.54
Sn (0.7500, 0.6518, 0.0000)  9 Pm 3.20-3.54
Sn (0.7500, 0.3482, 0.3482)  9 Pm 3.20-3.54
Pm (0.7500, 0.6841, 0.6841)  5 Sn 3.20-3.31, 2 Na 3.46
Pm (0.2500, 0.3159, 0.3159)  5 Sn 3.20-3.31, 2 Na 3.46
Pm (0.2500, 0.0000, 0.6841)  5 Sn 3.20-3.31, 2 Na 3.46
Pm (0.0000, 0.6667, 0.3333)  8 Pm 3.30-3.68, 6 Sn 3.54
Pm (0.5000, 0.3333, 0.6667)  8 Pm 3.30-3.68, 6 Sn 3.54
Pm (0.2500, 0.6841, 0.0000)  5 Sn 3.20-3.31, 2 Na 3.46
Pm (0.7500, 0.3159, 0.0000)  5 Sn 3.20-3.31, 2 Na 3.46
Pm (0.5000, 0.6667, 0.3333)  8 Pm 3.30-3.68, 6 Sn 3.54
Pm (0.0000, 0.3333, 0.6667)  8 Pm 3.30-3.68, 6 Sn 3.54
Pm (0.7500, 0.0000, 0.3159)  5 Sn 3.20-3.31, 2 Na 3.46
Na (0.0000, 0.0000, 0.0000)  2 Na 3.30, 6 Pm 3.46
Na (0.5000, 0.0000, 0.0000)  2 Na 3.30, 6 Pm 3.46

---

Number 1: M_tot 0.00 μB per atom. Number 2: M_tot 0.00 μB per atom. Number 3: M_tot 0.28 μB per atom. Number 4: M_tot 0.00 μB per atom. Number 5: M_tot 0.00 μB per atom. Number 6: M_tot 0.00 μB per atom. Number 7: M_tot 0.08 μB per atom. Number 8: M_tot 0.00 μB per atom.